Computed, not measured: crystalline Rb2AlCo at its relaxed geometry at the GGA-PBE level of DFT.

## Properties
energy above the most stable polymorph in this dataset = 2.081 eV/f.u.
space group = No. 225
energy of formation from the pure elements = 1117 meV per atom
magnetization = 0.125 μB per atom

Lattice parameters (Å, degrees): 6.039 6.039 6.039 60.00 60.00 60.00
Element x y z (fractional)
Co 0.500 0.500 0.500
Al 0.000 0.000 0.000
Rb 0.250 0.250 0.250
Rb 0.750 0.750 0.750